! MoRuIN2 (PBE-GGA, relaxed); values from VASP
! D(E_F) = 1.505 states/eV/atom
! energy relative to the elements, uncorrected = 1.127 eV per atom
! density = 6.52 Mg/m³
! energy above the lowest structure with this stoichiometry = 0 meV per atom
! crystal system = tetragonal
&SYSTEM
  ibrav = 0, nat = 5, ntyp = 4
/
ATOMIC_SPECIES
Mo 95.94 Mo.upf
Ru 101.07 Ru.upf
I 126.90 I.upf
N 14.01 N.upf
CELL_PARAMETERS angstrom
3.909 0.000 0.000
0.000 3.909 0.000
0.000 0.000 5.867
ATOMIC_POSITIONS angstrom
Mo 0.000 0.000 0.000
Ru 1.955 1.955 2.933
I 0.000 0.000 2.933
N 0.000 1.955 0.000
N 1.955 0.000 0.000